(1)
Material: NdHo12Tm6
Method: DFT, PBE-GGA
State: relaxed

a b c (Å): 8.455 8.455 8.455
angles (deg): 88.26 88.26 88.26
Fractional coordinates of all 19 atoms:
Nd 0.000 0.000 0.000
Ho 0.774 0.544 0.435
Ho 0.435 0.774 0.544
Ho 0.544 0.435 0.774
Ho 0.226 0.456 0.565
Ho 0.565 0.226 0.456
Ho 0.456 0.565 0.226
Ho 0.009 0.209 0.357
Ho 0.791 0.643 0.991
Ho 0.643 0.991 0.791
Ho 0.991 0.791 0.643
Ho 0.209 0.357 0.009
Ho 0.357 0.009 0.209
Tm 0.744 0.907 0.312
Tm 0.688 0.256 0.093
Tm 0.093 0.688 0.256
Tm 0.256 0.093 0.688
Tm 0.312 0.744 0.907
Tm 0.907 0.312 0.744

Output
* VASP energy: -4.40 eV per atom
* ΔE to the lowest computed polymorph: 0.0000 eV per atom
* crystal system: trigonal
* SG: No. 148
* DFT formation energy: 0.16 eV/atom

(2)
Material: Nd4Ho5Tm2
Method: DFT, PBE-GGA
State: relaxed

a b c (Å): 5.636 6.636 9.958
angles (deg): 90.74 106.44 90.00
Fractional coordinates of all 11 atoms:
Nd 0.306 0.929 0.613
Nd 0.980 0.711 0.960
Nd 0.694 0.071 0.387
Nd 0.020 0.289 0.040
Ho 0.791 0.598 0.583
Ho 0.209 0.402 0.417
Ho 0.870 0.111 0.740
Ho 0.500 0.000 0.000
Ho 0.130 0.889 0.260
Tm 0.402 0.445 0.804
Tm 0.598 0.555 0.196

Output
* VASP energy: -4.52 eV per atom
* ΔE to the lowest computed polymorph: 0.0000 eV per atom
* crystal system: monoclinic
* SG: No. 12
* DFT formation energy: 0.11 eV/atom

(3)
Material: NdHo12Tm7
Method: DFT, PBE-GGA
State: relaxed

a b c (Å): 8.643 8.643 8.643
angles (deg): 86.78 86.78 86.78
Fractional coordinates of all 20 atoms:
Nd 0.000 0.000 0.000
Ho 0.768 0.240 0.648
Ho 0.760 0.352 0.232
Ho 0.431 0.104 0.346
Ho 0.896 0.654 0.569
Ho 0.352 0.232 0.760
Ho 0.654 0.569 0.896
Ho 0.346 0.431 0.104
Ho 0.648 0.768 0.240
Ho 0.104 0.346 0.431
Ho 0.569 0.896 0.654
Ho 0.240 0.648 0.768
Ho 0.232 0.760 0.352
Tm 0.997 0.631 0.123
Tm 0.369 0.877 0.003
Tm 0.877 0.003 0.369
Tm 0.500 0.500 0.500
Tm 0.123 0.997 0.631
Tm 0.631 0.123 0.997
Tm 0.003 0.369 0.877

Output
* VASP energy: -4.31 eV per atom
* ΔE to the lowest computed polymorph: 0.0000 eV per atom
* crystal system: trigonal
* SG: No. 148
* DFT formation energy: 0.24 eV/atom

(4)
Material: NdHoTm3
Method: DFT, PBE-GGA
State: relaxed

a b c (Å): 9.546 5.603 6.249
angles (deg): 89.97 109.04 90.00
Fractional coordinates of all 10 atoms:
Nd 0.200 0.448 0.432
Nd 0.800 0.948 0.568
Ho 0.599 0.952 0.966
Ho 0.401 0.451 0.034
Tm 0.202 0.950 0.769
Tm 0.001 0.449 0.836
Tm 0.598 0.452 0.634
Tm 0.402 0.951 0.365
Tm 0.999 0.949 0.164
Tm 0.798 0.450 0.231

Output
* VASP energy: -4.55 eV per atom
* ΔE to the lowest computed polymorph: 0.0000 eV per atom
* crystal system: monoclinic
* SG: No. 4
* DFT formation energy: 0.01 eV/atom

(5)
Material: Nd6Ho7Tm16
Method: DFT, PBE-GGA
State: relaxed

a b c (Å): 11.092 11.092 11.092
angles (deg): 60.00 60.00 60.00
Each line ends with the local moment (μB).
Fractional coordinates of all 29 atoms:
Nd 0.281 0.719 0.281  0.22
Nd 0.719 0.281 0.719  0.22
Nd 0.719 0.281 0.281  0.22
Nd 0.281 0.719 0.719  0.22
Nd 0.719 0.719 0.281  0.22
Nd 0.281 0.281 0.719  0.22
Ho 0.000 0.000 0.000  0.06
Ho 0.500 0.000 0.500  0.10
Ho 0.000 0.500 0.000  0.10
Ho 0.000 0.500 0.500  0.10
Ho 0.500 0.000 0.000  0.10
Ho 0.000 0.000 0.500  0.10
Ho 0.500 0.500 0.000  0.10
Tm 0.877 0.877 0.369  0.15
Tm 0.877 0.877 0.877  0.15
Tm 0.877 0.369 0.877  0.15
Tm 0.369 0.877 0.877  0.15
Tm 0.123 0.123 0.123  0.15
Tm 0.123 0.123 0.631  0.15
Tm 0.123 0.631 0.123  0.15
Tm 0.631 0.123 0.123  0.15
Tm 0.654 0.654 0.037  0.19
Tm 0.654 0.654 0.654  0.19
Tm 0.654 0.037 0.654  0.19
Tm 0.037 0.654 0.654  0.19
Tm 0.346 0.346 0.346  0.19
Tm 0.346 0.346 0.963  0.19
Tm 0.346 0.963 0.346  0.19
Tm 0.963 0.346 0.346  0.19

Output
* VASP energy: -4.31 eV per atom
* crystal system: cubic
* SG: No. 225
* DFT formation energy: 0.24 eV/atom

(6)
Material: Nd12HoTm5
Method: DFT, PBE-GGA
State: relaxed

a b c (Å): 15.286 10.841 5.135
angles (deg): 90.00 90.00 45.26
Fractional coordinates of all 18 atoms:
Nd 0.835 0.000 0.500
Nd 0.165 0.000 0.500
Nd 0.664 0.000 0.000
Nd 0.336 0.000 0.000
Nd 0.332 0.666 0.000
Nd 0.002 0.667 0.000
Nd 0.998 0.333 0.000
Nd 0.668 0.334 0.000
Nd 0.498 0.333 0.500
Nd 0.831 0.666 0.500
Nd 0.169 0.334 0.500
Nd 0.502 0.667 0.500
Ho 0.000 0.000 0.000
Tm 0.500 0.000 0.500
Tm 0.167 0.667 0.500
Tm 0.833 0.333 0.500
Tm 0.667 0.666 0.000
Tm 0.333 0.334 0.000

Output
* VASP energy: -4.65 eV per atom
* crystal system: monoclinic
* SG: No. 10
* DFT formation energy: 0.02 eV/atom

(7)
Material: Nd4Ho4Tm
Method: DFT, PBE-GGA
State: relaxed

a b c (Å): 5.055 8.034 8.034
angles (deg): 84.32 71.66 71.66
Fractional coordinates of all 9 atoms:
Nd 0.666 0.667 0.000
Nd 0.334 0.333 0.000
Nd 0.666 0.000 0.667
Nd 0.334 0.000 0.333
Ho 0.665 0.335 0.335
Ho 0.335 0.665 0.665
Ho 0.000 0.665 0.335
Ho 0.000 0.335 0.665
Tm 0.000 0.000 0.000

Output
* VASP energy: -4.63 eV per atom
* ΔE to the lowest computed polymorph: 0.0000 eV per atom
* crystal system: tetragonal
* SG: No. 139
* DFT formation energy: 0.02 eV/atom

(8)
Material: NdHo12Tm6
Method: DFT, PBE-GGA
State: relaxed

a b c (Å): 9.210 9.210 9.210
angles (deg): 107.51 107.51 107.51
Fractional coordinates of all 19 atoms:
Nd 0.000 0.000 0.000
Ho 0.889 0.111 0.500
Ho 0.366 0.145 0.366
Ho 0.366 0.366 0.145
Ho 0.855 0.634 0.634
Ho 0.634 0.634 0.855
Ho 0.634 0.855 0.634
Ho 0.500 0.889 0.111
Ho 0.111 0.500 0.889
Ho 0.111 0.889 0.500
Ho 0.500 0.111 0.889
Ho 0.889 0.500 0.111
Ho 0.145 0.366 0.366
Tm 0.690 0.270 0.690
Tm 0.690 0.690 0.270
Tm 0.270 0.690 0.690
Tm 0.310 0.310 0.730
Tm 0.310 0.730 0.310
Tm 0.730 0.310 0.310

Output
* VASP energy: -4.12 eV per atom
* ΔE to the lowest computed polymorph: 0.2783 eV per atom
* crystal system: trigonal
* SG: No. 166
* DFT formation energy: 0.44 eV/atom

(9)
Material: Nd4Ho2Tm5
Method: DFT, PBE-GGA
State: relaxed

a b c (Å): 5.633 6.596 9.947
angles (deg): 90.83 106.45 90.00
Fractional coordinates of all 11 atoms:
Nd 0.306 0.926 0.613
Nd 0.978 0.714 0.957
Nd 0.694 0.074 0.387
Nd 0.022 0.286 0.043
Ho 0.401 0.444 0.803
Ho 0.599 0.556 0.197
Tm 0.791 0.598 0.581
Tm 0.209 0.402 0.419
Tm 0.869 0.114 0.739
Tm 0.500 0.000 0.000
Tm 0.131 0.886 0.261

Output
* VASP energy: -4.49 eV per atom
* ΔE to the lowest computed polymorph: 0.0621 eV per atom
* crystal system: monoclinic
* SG: No. 12
* DFT formation energy: 0.11 eV/atom

(10)
Material: Nd6HoTm4
Method: DFT, PBE-GGA
State: relaxed

a b c (Å): 6.734 6.734 9.601
angles (deg): 110.53 110.53 90.00
Fractional coordinates of all 11 atoms:
Nd 0.868 0.486 0.355
Nd 0.486 0.868 0.355
Nd 0.514 0.514 0.645
Nd 0.000 0.500 0.000
Nd 0.132 0.132 0.645
Nd 0.500 0.000 0.000
Ho 0.500 0.500 0.000
Tm 0.058 0.704 0.762
Tm 0.942 0.942 0.238
Tm 0.704 0.058 0.762
Tm 0.296 0.296 0.238

Output
* VASP energy: -4.34 eV per atom
* crystal system: tetragonal
* SG: No. 121
* DFT formation energy: 0.30 eV/atom

(11)
Material: Nd2Ho7Tm
Method: DFT, PBE-GGA
State: relaxed

a b c (Å): 3.500 14.729 14.729
angles (deg): 154.61 90.00 90.00
Fractional coordinates of all 10 atoms:
Nd 0.500 0.708 0.292
Nd 0.500 0.292 0.708
Ho 0.000 0.816 0.184
Ho 0.000 0.184 0.816
Ho 0.500 0.148 0.343
Ho 0.500 0.852 0.657
Ho 0.500 0.343 0.148
Ho 0.500 0.657 0.852
Ho 0.500 0.500 0.500
Tm 0.000 0.000 0.000

Output
* VASP energy: -4.45 eV per atom
* ΔE to the lowest computed polymorph: 0.1346 eV per atom
* crystal system: orthorhombic
* SG: No. 65
* DFT formation energy: 0.16 eV/atom

(12)
Material: NdHoTm
Method: DFT, PBE-GGA
State: relaxed

a b c (Å): 4.842 4.842 8.625
angles (deg): 90.00 90.00 90.00
Fractional coordinates of all 6 atoms:
Tm 0.000 0.500 0.706
Tm 0.500 0.000 0.294
Ho 0.500 0.500 0.000
Ho 0.000 0.000 0.000
Nd 0.500 0.000 0.694
Nd 0.000 0.500 0.306

Output
* VASP energy: -4.39 eV per atom
* ΔE to the lowest computed polymorph: 0.1985 eV per atom
* crystal system: tetragonal
* SG: No. 129
* DFT formation energy: 0.21 eV/atom

(13)
Material: NdHo14Tm
Method: DFT, PBE-GGA
State: relaxed

a b c (Å): 7.095 7.095 11.408
angles (deg): 90.00 90.00 120.02
Fractional coordinates of all 16 atoms:
Nd 0.708 0.292 0.500
Ho 0.042 0.958 0.000
Ho 0.542 0.458 0.000
Ho 0.208 0.292 0.500
Ho 0.042 0.458 0.000
Ho 0.708 0.792 0.500
Ho 0.542 0.958 0.000
Ho 0.374 0.125 0.751
Ho 0.374 0.125 0.249
Ho 0.875 0.626 0.751
Ho 0.875 0.626 0.249
Ho 0.375 0.625 0.750
Ho 0.375 0.625 0.250
Ho 0.875 0.125 0.752
Ho 0.875 0.125 0.248
Tm 0.208 0.792 0.500

Output
* VASP energy: -4.58 eV per atom
* crystal system: orthorhombic
* SG: No. 38
* DFT formation energy: 0.01 eV/atom

(14)
Material: NdHo7Tm12
Method: DFT, PBE-GGA
State: relaxed

a b c (Å): 8.613 8.613 8.613
angles (deg): 87.41 87.41 87.41
Fractional coordinates of all 20 atoms:
Nd 0.000 0.000 0.000
Ho 0.999 0.633 0.122
Ho 0.367 0.878 0.001
Ho 0.878 0.001 0.367
Ho 0.500 0.500 0.500
Ho 0.122 0.999 0.633
Ho 0.633 0.122 0.999
Ho 0.001 0.367 0.878
Tm 0.765 0.236 0.644
Tm 0.764 0.356 0.235
Tm 0.436 0.108 0.347
Tm 0.892 0.653 0.564
Tm 0.356 0.235 0.764
Tm 0.653 0.564 0.892
Tm 0.347 0.436 0.108
Tm 0.644 0.765 0.236
Tm 0.108 0.347 0.436
Tm 0.564 0.892 0.653
Tm 0.236 0.644 0.765
Tm 0.235 0.764 0.356

Output
* VASP energy: -4.28 eV per atom
* ΔE to the lowest computed polymorph: 0.0000 eV per atom
* crystal system: trigonal
* SG: No. 148
* DFT formation energy: 0.24 eV/atom

(15)
Material: Nd2Ho4Tm
Method: DFT, PBE-GGA
State: relaxed

a b c (Å): 6.106 6.599 11.560
angles (deg): 90.00 104.12 90.00
Fractional coordinates of all 14 atoms:
Nd 0.604 0.750 0.996
Nd 0.396 0.250 0.004
Nd 0.292 0.250 0.433
Nd 0.708 0.750 0.567
Ho 0.647 0.504 0.288
Ho 0.014 0.750 0.851
Ho 0.986 0.250 0.149
Ho 0.647 0.996 0.288
Ho 0.855 0.250 0.560
Ho 0.353 0.004 0.712
Ho 0.353 0.496 0.712
Ho 0.145 0.750 0.440
Tm 0.151 0.750 0.154
Tm 0.849 0.250 0.846

Output
* VASP energy: -4.48 eV per atom
* ΔE to the lowest computed polymorph: 0.0305 eV per atom
* crystal system: monoclinic
* SG: No. 11
* DFT formation energy: 0.14 eV/atom

(16)
Material: Nd2Ho5Tm4
Method: DFT, PBE-GGA
State: relaxed

a b c (Å): 3.469 8.954 12.533
angles (deg): 110.93 97.96 90.00
Fractional coordinates of all 11 atoms:
Nd 0.267 0.267 0.534
Nd 0.733 0.733 0.466
Ho 0.859 0.054 0.719
Ho 0.859 0.665 0.719
Ho 0.141 0.335 0.281
Ho 0.141 0.946 0.281
Ho 0.500 0.000 0.000
Tm 0.000 0.313 0.000
Tm 0.597 0.597 0.194
Tm 0.000 0.687 0.000
Tm 0.403 0.403 0.806

Output
* VASP energy: -4.38 eV per atom
* ΔE to the lowest computed polymorph: 0.1756 eV per atom
* crystal system: orthorhombic
* SG: No. 71
* DFT formation energy: 0.20 eV/atom

(17)
Material: NdHo12Tm3
Method: DFT, PBE-GGA
State: relaxed

a b c (Å): 4.988 4.988 19.947
angles (deg): 90.00 90.00 90.00
Fractional coordinates of all 16 atoms:
Nd 0.000 0.000 0.000
Ho 0.500 0.500 0.000
Ho 0.500 0.500 0.252
Ho 0.500 0.500 0.500
Ho 0.500 0.500 0.748
Ho 0.500 0.000 0.127
Ho 0.500 0.000 0.376
Ho 0.500 0.000 0.624
Ho 0.500 0.000 0.873
Ho 0.000 0.500 0.127
Ho 0.000 0.500 0.376
Ho 0.000 0.500 0.624
Ho 0.000 0.500 0.873
Tm 0.000 0.000 0.252
Tm 0.000 0.000 0.500
Tm 0.000 0.000 0.748

Output
* VASP energy: -4.55 eV per atom
* crystal system: tetragonal
* SG: No. 123
* DFT formation energy: 0.02 eV/atom

(18)
Material: Nd8Ho4Tm3
Method: DFT, PBE-GGA
State: relaxed

a b c (Å): 7.000 7.000 12.577
angles (deg): 73.84 73.84 60.00
Fractional coordinates of all 15 atoms:
Nd 0.245 0.245 0.265
Nd 0.248 0.750 0.252
Nd 0.750 0.750 0.252
Nd 0.750 0.248 0.252
Nd 0.755 0.755 0.735
Nd 0.752 0.250 0.748
Nd 0.250 0.250 0.748
Nd 0.250 0.752 0.748
Ho 0.000 0.000 0.000
Ho 0.336 0.336 0.993
Ho 0.500 0.500 0.500
Ho 0.664 0.664 0.007
Tm 0.500 0.000 0.500
Tm 0.000 0.000 0.500
Tm 0.000 0.500 0.500

Output
* VASP energy: -4.50 eV per atom
* ΔE to the lowest computed polymorph: 0.0000 eV per atom
* crystal system: trigonal
* SG: No. 166
* DFT formation energy: 0.16 eV/atom